## BaRu2C (PBE-GGA)

Data for crystalline BaRu2C at its relaxed geometry.

N(E_F) (states/eV per atom): 0.3869
Formation energy (eV/atom): 0.459

Unit cell a=6.1118 b=6.1118 c=6.2528 alpha=60.74 beta=60.74 gamma=90.00
Closest atoms and distances in Å follow each position.
Sites, in units of the cell vectors:
Ru (0.3356, 0.1250, 0.2500)  2 C 1.92
Ru (0.4144, 0.6250, 0.2500)  2 C 1.92
Ru (0.3750, 0.6644, 0.7500)  2 C 1.92
Ru (0.8750, 0.5856, 0.7500)  2 C 1.92
C (0.5000, 0.5000, 0.0000)  4 Ru 1.92
C (0.2500, 0.7500, 0.5000)  4 Ru 1.92
Ba (0.0000, 0.0000, 0.0000)  8 Ru 3.40-3.73, 4 Ba 3.80, 4 C 3.80
Ba (0.7500, 0.2500, 0.5000)  8 Ru 3.40-3.73, 4 Ba 3.80, 4 C 3.80